No. 1
## Li2PmAg2Sb2 (GGA-PBE)

Data for Li2PmAg2Sb2 after structural relaxation.

crystal system = trigonal
E_form (uncorrected) = -576 meV/atom

Cell lengths 4.596, 4.596, 8.702 Å; angles 74.69, 74.69, 60.00 degrees
Atoms (fractional coordinates):
Ag (0.442, 0.442, 0.675)
Ag (0.558, 0.558, 0.325)
Pm (0.000, 0.000, 0.000)
Sb (0.260, 0.260, 0.220)
Sb (0.740, 0.740, 0.780)
Li (0.856, 0.856, 0.431)
Li (0.144, 0.144, 0.569)

=====

No. 2
## NiAs2Pb (GGA-PBE)

Data for NiAs2Pb after structural relaxation.

energy relative to the elements = 0.005 eV/atom
crystal system = tetragonal

Cell lengths 5.842, 5.842, 7.185 Å; angles 66.01, 66.01, 90.00 degrees
Atoms (fractional coordinates):
As (0.375, 0.458, 0.750)
As (0.208, 0.625, 0.250)
As (0.542, 0.125, 0.250)
As (0.875, 0.792, 0.750)
Pb (0.750, 0.250, 0.500)
Pb (0.000, 0.000, 0.000)
Ni (0.250, 0.750, 0.500)
Ni (0.500, 0.500, 0.000)

=====

No. 3
## Ho4CoSb (GGA-PBE)

Data for Ho4CoSb after structural relaxation.

excess energy over the best structure of this formula in the dataset = 0.00 kcal/mol of atoms
crystal system = orthorhombic
E_form (uncorrected) = -473 meV/atom

Cell lengths 4.005, 8.068, 18.890 Å; angles 90.00, 90.00, 90.00 degrees
Atoms (fractional coordinates):
Ho (0.750, 0.464, 0.284)
Ho (0.250, 0.536, 0.716)
Ho (0.250, 0.644, 0.950)
Ho (0.250, 0.145, 0.359)
Ho (0.750, 0.856, 0.450)
Ho (0.750, 0.355, 0.859)
Ho (0.250, 0.144, 0.550)
Ho (0.250, 0.503, 0.433)
Ho (0.750, 0.964, 0.216)
Ho (0.250, 0.645, 0.141)
Ho (0.750, 0.497, 0.567)
Ho (0.750, 0.356, 0.050)
Ho (0.750, 0.855, 0.641)
Ho (0.250, 0.003, 0.067)
Ho (0.750, 0.997, 0.933)
Ho (0.250, 0.036, 0.784)
Sb (0.750, 0.236, 0.689)
Sb (0.250, 0.264, 0.189)
Sb (0.250, 0.764, 0.311)
Sb (0.750, 0.736, 0.811)
Co (0.250, 0.747, 0.549)
Co (0.750, 0.753, 0.049)
Co (0.250, 0.247, 0.951)
Co (0.750, 0.253, 0.451)

=====

No. 4
## CeTcAu (GGA-PBE)

Data for CeTcAu after structural relaxation.

energy relative to the elements = -0.135 eV/atom
crystal system = tetragonal

Cell lengths 3.929, 3.929, 9.668 Å; angles 101.72, 101.72, 90.00 degrees
Atoms (fractional coordinates):
Tc (0.265, 0.265, 0.531)
Tc (0.735, 0.735, 0.469)
Ce (0.856, 0.856, 0.712)
Ce (0.144, 0.144, 0.288)
Au (0.428, 0.428, 0.857)
Au (0.572, 0.572, 0.143)

=====

No. 5
## HgBrF2 (GGA-PBE)

Data for HgBrF2 after structural relaxation.

excess energy over the best structure of this formula in the dataset = 7.99 kcal/mol of atoms
crystal system = tetragonal
E_form (uncorrected) = -666 meV/atom

Cell lengths 6.607, 6.607, 6.382 Å; angles 58.83, 58.83, 90.00 degrees
Site moments in Bohr magnetons follow the coordinates.
Atoms (fractional coordinates):
F (0.026, 0.625, 0.250)  0.03
F (0.724, 0.125, 0.250)  0.03
F (0.875, 0.974, 0.750)  0.03
F (0.375, 0.276, 0.750)  0.03
Hg (0.000, 0.000, 0.000)  0.00
Hg (0.750, 0.250, 0.500)  0.00
Br (0.250, 0.750, 0.500)  0.69
Br (0.500, 0.500, 0.000)  0.70

=====

No. 6
## NiPtRh4 (GGA-PBE)

Data for NiPtRh4 after structural relaxation.

excess energy over the best structure of this formula in the dataset = 6.71 kcal/mol of atoms
energy relative to the elements = 0.490 eV/atom
crystal system = cubic

Cell lengths 5.067, 5.067, 5.067 Å; angles 60.00, 60.00, 60.00 degrees
Site moments in Bohr magnetons follow the coordinates.
Atoms (fractional coordinates):
Ni (0.750, 0.750, 0.750)  0.90
Rh (0.375, 0.375, 0.875)  0.53
Rh (0.375, 0.375, 0.375)  0.53
Rh (0.875, 0.375, 0.375)  0.53
Rh (0.375, 0.875, 0.375)  0.53
Pt (0.000, 0.000, 0.000)  0.33

=====

Number 1: electronic total energy -26.55 eV for the cell shown. Number 2: electronic total energy -37.54 eV for the cell shown. Number 3: electronic total energy -129.50 eV for the cell shown. Number 4: electronic total energy -39.96 eV for the cell shown. Number 5: electronic total energy -16.76 eV for the cell shown. Number 6: electronic total energy -38.29 eV for the cell shown.